Entry from the Alexandria database: a relaxed TlCdInI4 crystal (PBE).

Results
N(E_F): 0.00 states/eV/atom
ΔE_f (raw): -0.562 eV per atom

a = 8.135 Å, b = 8.366 Å, c = 9.431 Å
α = 90.00°, β = 107.31°, γ = 90.00°
Space group P2_1/m (No. 11)
Symmetry-distinct sites (fractional):
1 Tl 0.228 0.250 0.060
2 Cd 0.242 0.750 0.805
3 In 0.226 0.250 0.558
4 I 0.001 0.507 0.259
5 I 0.438 0.750 0.105
6 I 0.438 0.750 0.607

=====

Entry from the Alexandria database: a relaxed AcIn2PtO8 crystal (PBE).

Results
N(E_F): 0.66 states/eV/atom
ΔE_f (raw): -1.287 eV per atom

a = 4.860 Å, b = 7.009 Å, c = 5.007 Å
α = 90.00°, β = 90.18°, γ = 90.00°
Space group P2/m (No. 10)
Symmetry-distinct sites (fractional):
1 Ac 0.000 0.000 0.000
2 In 0.500 0.265 0.500
3 Pt 0.000 0.500 0.000
4 O 0.215 0.294 0.169
5 O 0.264 0.500 0.693
6 O 0.315 0.000 0.653

=====

Entry from the Alexandria database: a relaxed Ce2SmEr6Tm3 crystal (PBE).

Results
N(E_F): 1.87 states/eV/atom
Formation energy from the elements: 0.05 eV per atom

a = 6.084 Å, b = 10.534 Å, c = 11.635 Å
α = 90.00°, β = 100.04°, γ = 90.00°
Space group C2/m (No. 12)
Symmetry-distinct sites (fractional):
1 Ce 0.000 0.167 0.000
2 Sm 0.000 0.500 0.000
3 Er 0.248 0.000 0.251
4 Er 0.248 0.168 0.749
5 Tm 0.000 0.000 0.500
6 Tm 0.000 0.334 0.500

=====

Entry from the Alexandria database: a relaxed KAg2Pd crystal (PBE).

Results
N(E_F): 0.46 states/eV/atom
Formation energy from the elements: 0.01 eV per atom

a = 4.7252 Å, b = 4.7252 Å, c = 17.1146 Å
α = 90.00°, β = 90.00°, γ = 120.00°
Space group R-3m (No. 166, hexagonal axes)
Symmetry-distinct sites (fractional):
1 K 0.0000 0.0000 0.0000
2 Ag 0.0000 0.0000 0.1870
3 Pd 0.0000 0.0000 0.5000

=====

Entry from the Alexandria database: a relaxed HoMgAlCu crystal (PBE).

Results
N(E_F): 0.53 states/eV/atom
Formation energy from the elements: -0.24 eV per atom

a = 6.780 Å, b = 6.780 Å, c = 6.780 Å
α = 90.00°, β = 90.00°, γ = 90.00°
Space group F-43m (No. 216)
Symmetry-distinct sites (fractional):
1 Ho 0.000 0.000 0.000
2 Mg 0.000 0.000 0.500
3 Al 0.250 0.250 0.250
4 Cu 0.250 0.250 0.750

=====

Entry from the Alexandria database: a relaxed CaNbC crystal (PBE).

Results
N(E_F): 0.59 states/eV/atom
Formation energy from the elements: -0.04 eV per atom

a = 18.372 Å, b = 4.356 Å, c = 6.957 Å
α = 90.00°, β = 95.18°, γ = 90.00°
Space group C2/m (No. 12)
Symmetry-distinct sites (fractional):
1 Ca 0.080 0.000 0.338
2 Ca 0.100 0.500 0.826
3 Nb 0.221 0.000 0.105
4 Nb 0.233 0.000 0.631
5 C 0.199 0.500 0.104
6 C 0.213 0.500 0.625

=====

Entry from the Alexandria database: a relaxed Ac8TlRu3I4 crystal (PBE).

Results
N(E_F): 0.36 states/eV/atom
ΔE_f (raw): -0.703 eV per atom

a = 8.9860 Å, b = 8.9860 Å, c = 25.7333 Å
α = 90.00°, β = 90.00°, γ = 120.00°
Space group R-3m (No. 166, hexagonal axes)
Symmetry-distinct sites (fractional):
1 Ac 0.0000 0.0000 0.2308
2 Ac 0.0279 0.5139 0.7719
3 Tl 0.0000 0.0000 0.5000
4 Ru 0.0000 0.5000 0.5000
5 I 0.0000 0.0000 0.0000
6 I 0.0000 0.5000 0.0000

=====

Entry from the Alexandria database: a relaxed NaIn3Au3 crystal (PBE).

Results
N(E_F): 0.32 states/eV/atom
Formation energy from the elements: -0.24 eV per atom

a = 8.3231 Å, b = 8.3231 Å, c = 16.6697 Å
α = 90.00°, β = 90.00°, γ = 120.00°
Space group R-3 (No. 148, hexagonal axes)
Symmetry-distinct sites (fractional):
1 Na 0.0000 0.0000 0.1662
2 In 0.0032 0.6594 0.3871
3 Au 0.0023 0.6937 0.5550